[1]
Density functional theory data (PBE) for ThZn10Cu2 after structural relaxation.

Calculated values
The value obtained for the formation energy is -169.5 meV per atom. The calculation puts the size of the total moment at 0.000 μB per atom. The theoretical density comes out at 8.236 g/cm³.

a = 8.953 Å, b = 6.837 Å, c = 6.812 Å
α = 81.98°, β = 49.13°, γ = 48.88°
Sites, in units of the cell vectors:
Th1 0.000 0.000 0.000
Zn1 0.000 0.500 0.000
Zn2 0.007 0.646 0.354
Zn3 0.278 0.505 0.495
Zn4 0.354 0.993 0.007
Zn5 0.495 0.722 0.278
Zn6 0.500 0.000 0.500
Zn7 0.505 0.278 0.722
Zn8 0.646 0.007 0.993
Zn9 0.722 0.495 0.505
Zn10 0.993 0.354 0.646
Cu1 0.000 0.000 0.500
Cu2 0.500 0.500 0.000

***

[2]
Density functional theory data (PBE) for Cd4AsSeI2 after structural relaxation.

Calculated values
The value obtained for the uncorrected formation energy is -315.2 meV/atom. The calculation puts the size of the total moment at 0.000 μB per atom. The theoretical density comes out at 4.877 g/cm³.

a = 9.949 Å, b = 7.809 Å, c = 7.515 Å
α = 90.00°, β = 90.00°, γ = 90.00°
Sites, in units of the cell vectors:
Cd1 0.000 0.098 0.000
Cd2 0.000 0.900 0.509
Cd3 0.244 0.305 0.592
Cd4 0.256 0.695 0.092
Cd5 0.500 0.100 0.009
Cd6 0.500 0.902 0.500
Cd7 0.744 0.695 0.092
Cd8 0.756 0.305 0.592
As1 0.000 0.195 0.669
As2 0.500 0.805 0.169
Se1 0.000 0.797 0.169
Se2 0.500 0.203 0.669
I1 0.248 0.301 0.164
I2 0.252 0.699 0.664
I3 0.748 0.699 0.664
I4 0.752 0.301 0.164

***

[3]
Density functional theory data (PBE) for PrSm3Y2Ho6 after structural relaxation.

Calculated values
The value obtained for the formation energy is 17.5 meV per atom. The calculation puts the size of the total moment at 0.000 μB per atom. The theoretical density comes out at 7.555 g/cm³.

a = 6.191 Å, b = 6.191 Å, c = 11.826 Å
α = 94.99°, β = 94.99°, γ = 119.97°
Sites, in units of the cell vectors:
Pr1 0.000 0.000 0.000
Sm1 0.167 0.833 0.500
Sm2 0.500 0.500 0.500
Sm3 0.833 0.167 0.500
Y1 0.333 0.667 0.000
Y2 0.667 0.333 0.000
Ho1 0.084 0.417 0.250
Ho2 0.250 0.250 0.750
Ho3 0.417 0.084 0.250
Ho4 0.583 0.916 0.750
Ho5 0.750 0.750 0.250
Ho6 0.916 0.583 0.750

***

[4]
Density functional theory data (PBE) for ThInPd after structural relaxation.

Calculated values
The value obtained for the formation energy is -600.9 meV per atom. The calculation puts the size of the total moment at 0.000 μB per atom. The theoretical density comes out at 10.568 g/cm³.

a = 4.844 Å, b = 4.844 Å, c = 3.505 Å
α = 90.00°, β = 90.00°, γ = 120.00°
Sites, in units of the cell vectors:
Th1 0.000 0.000 0.000
In1 0.333 0.667 0.500
Pd1 0.667 0.333 0.500

***

[5]
Density functional theory data (PBE) for Sm4YTe7 after structural relaxation.

Calculated values
The value obtained for the uncorrected formation energy is -1415.7 meV/atom. The calculation puts the size of the total moment at 0.000 μB per atom. The theoretical density comes out at 6.504 g/cm³.

a = 7.575 Å, b = 7.575 Å, c = 13.344 Å
α = 103.76°, β = 103.76°, γ = 33.03°
Sites, in units of the cell vectors:
Sm1 0.000 0.000 0.000
Sm2 0.185 0.185 0.764
Sm3 0.586 0.586 0.386
Sm4 0.885 0.885 0.574
Y1 0.770 0.770 0.151
Te1 0.146 0.146 0.225
Te2 0.224 0.224 0.527
Te3 0.383 0.383 0.076
Te4 0.547 0.547 0.624
Te5 0.629 0.629 0.927
Te6 0.848 0.848 0.791
Te7 0.922 0.922 0.356

***

[6]
Density functional theory data (PBE) for AlAg3 after structural relaxation.

Calculated values
The value obtained for the formation energy is 1.6 meV per atom. The calculation puts the size of the total moment at 0.000 μB per atom. The theoretical density comes out at 8.305 g/cm³.

a = 2.910 Å, b = 2.910 Å, c = 16.559 Å
α = 90.00°, β = 90.00°, γ = 90.00°
Sites, in units of the cell vectors:
Al1 0.250 0.250 0.061
Al2 0.750 0.750 0.939
Ag1 0.250 0.250 0.309
Ag2 0.250 0.250 0.564
Ag3 0.250 0.250 0.822
Ag4 0.750 0.750 0.178
Ag5 0.750 0.750 0.436
Ag6 0.750 0.750 0.691